[1]
DyEr2Sc3S6 | PBE | optimized geometry

a = 8.454 Å, b = 8.454 Å, c = 7.593 Å
α = 102.89°, β = 102.89°, γ = 25.85°
Sites, in units of the cell vectors:
Dy (0.000, 0.000, 0.000)
Er (0.334, 0.334, 0.668)
Er (0.666, 0.666, 0.332)
Sc (0.000, 0.000, 0.500)
Sc (0.334, 0.334, 0.166)
Sc (0.666, 0.666, 0.834)
S (0.164, 0.164, 0.590)
S (0.171, 0.171, 0.077)
S (0.497, 0.497, 0.260)
S (0.503, 0.503, 0.740)
S (0.829, 0.829, 0.923)
S (0.836, 0.836, 0.410)

The density of states at the Fermi level is 5.70 states/eV/f.u. As for the final energy: -80.439 eV per formula unit. As for the space group: C2/m, No. 12. The value obtained for the total magnetization is 0.0 μB/cell. The uncorrected formation energy comes out at -1.91 eV per atom.

[2]
SnClO2 | PBE | optimized geometry

a = 4.186 Å, b = 4.186 Å, c = 4.186 Å
α = 60.00°, β = 60.00°, γ = 60.00°
Sites, in units of the cell vectors:
Sn (0.000, 0.000, 0.000)
Cl (0.500, 0.500, 0.500)
O (0.250, 0.250, 0.250)
O (0.750, 0.750, 0.750)

The density of states at the Fermi level is 1.85 states/eV/f.u. As for the final energy: -15.046 eV per formula unit. As for the space group: Fm-3m, No. 225. The value obtained for the total magnetization is 1.1 μB/cell. The uncorrected formation energy comes out at 0.18 eV per atom. The energy above the most stable polymorph in this dataset comes out at 1041 meV per atom.

[3]
NaNd2In | PBE | optimized geometry

a = 5.317 Å, b = 5.317 Å, c = 4.300 Å
α = 90.00°, β = 90.00°, γ = 90.00°
Sites, in units of the cell vectors:
Na (0.000, 0.000, 0.000)
Nd (0.000, 0.500, 0.500)
Nd (0.500, 0.000, 0.500)
In (0.500, 0.500, 0.000)

The density of states at the Fermi level is 4.39 states/eV/f.u. As for the final energy: -14.115 eV per formula unit. As for the space group: P4/mmm, No. 123. The value obtained for the calculated formation energy is -0.5 eV/f.u. The value obtained for the total magnetization is 0.0 μB/cell.

[4]
Ir5Pt | PBE | optimized geometry

a = 4.765 Å, b = 4.765 Å, c = 4.510 Å
α = 90.00°, β = 90.00°, γ = 120.00°
Sites, in units of the cell vectors:
Ir (0.000, 0.661, 0.000)
Ir (0.333, 0.667, 0.500)
Ir (0.339, 0.339, 0.000)
Ir (0.661, 0.000, 0.000)
Ir (0.667, 0.333, 0.500)
Pt (0.000, 0.000, 0.500)

The density of states at the Fermi level is 7.20 states/eV/f.u. As for the final energy: -49.641 eV per formula unit. As for the space group: P-62m, No. 189. The value obtained for the calculated formation energy is 0.7 eV/f.u. The value obtained for the total magnetization is 0.0 μB/cell. The energy above the most stable polymorph in this dataset comes out at 94 meV per atom.

[5]
La6TbSm5 | PBE | optimized geometry

a = 9.749 Å, b = 9.749 Å, c = 9.749 Å
α = 148.79°, β = 116.56°, γ = 72.40°
Sites, in units of the cell vectors:
La (0.083, 0.334, 0.749)
La (0.249, 0.000, 0.249)
La (0.416, 0.666, 0.749)
La (0.584, 0.334, 0.251)
La (0.751, 0.000, 0.751)
La (0.917, 0.666, 0.251)
Tb (0.000, 0.500, 0.500)
Sm (0.166, 0.166, 0.000)
Sm (0.333, 0.833, 0.500)
Sm (0.500, 0.500, 0.000)
Sm (0.667, 0.167, 0.500)
Sm (0.834, 0.834, 0.000)

The density of states at the Fermi level is 20.33 states/eV/f.u. As for the final energy: -57.562 eV per formula unit. As for the space group: Immm, No. 71. The value obtained for the calculated formation energy is 0.2 eV/f.u. The value obtained for the total magnetization is 0.0 μB/cell.

[6]
BeSnS2Cl | PBE | optimized geometry

a = 5.020 Å, b = 5.020 Å, c = 5.049 Å
α = 90.00°, β = 90.00°, γ = 90.00°
Sites, in units of the cell vectors:
Be (0.000, 0.000, 0.000)
Sn (0.500, 0.500, 0.500)
S (0.000, 0.500, 0.500)
S (0.500, 0.000, 0.500)
Cl (0.500, 0.500, 0.000)

The density of states at the Fermi level is 3.24 states/eV/f.u. As for the final energy: -15.050 eV per formula unit. As for the space group: P4/mmm, No. 123. The value obtained for the total magnetization is 0.3 μB/cell. The uncorrected formation energy comes out at 0.56 eV per atom. The energy above the most stable polymorph in this dataset comes out at 834 meV per atom.

[7]
ErMg2Co | PBE | optimized geometry

a = 7.104 Å, b = 7.104 Å, c = 5.205 Å
α = 99.23°, β = 99.23°, γ = 135.68°
Sites, in units of the cell vectors:
Er (0.179, 0.821, 0.750)
Er (0.821, 0.179, 0.250)
Mg (0.226, 0.402, 0.911)
Mg (0.402, 0.226, 0.411)
Mg (0.598, 0.774, 0.589)
Mg (0.774, 0.598, 0.089)
Co (0.251, 0.749, 0.250)
Co (0.749, 0.251, 0.750)

The density of states at the Fermi level is 2.65 states/eV/f.u. As for the final energy: -15.335 eV per formula unit. As for the space group: C2/c, No. 15. The value obtained for the calculated formation energy is -0.5 eV/f.u. The value obtained for the total magnetization is 0.0 μB/cell.

[8]
HRu2W | PBE | optimized geometry

a = 6.261 Å, b = 6.261 Å, c = 4.000 Å
α = 90.00°, β = 90.00°, γ = 142.90°
Sites, in units of the cell vectors:
H (0.000, 0.000, 0.250)
H (0.000, 0.000, 0.750)
Ru (0.186, 0.368, 0.000)
Ru (0.368, 0.186, 0.500)
Ru (0.632, 0.814, 0.500)
Ru (0.814, 0.632, 0.000)
W (0.000, 0.500, 0.500)
W (0.500, 0.000, 0.000)

The density of states at the Fermi level is 3.23 states/eV/f.u. As for the final energy: -34.444 eV per formula unit. As for the space group: Cccm, No. 66. The value obtained for the total magnetization is 0.0 μB/cell. The energy above the most stable polymorph in this dataset comes out at 54 meV per atom.

[9]
Li2LaMg | PBE | optimized geometry

a = 10.913 Å, b = 10.913 Å, c = 10.913 Å
α = 17.67°, β = 17.67°, γ = 17.67°
Sites, in units of the cell vectors:
Li (0.244, 0.244, 0.244)
Li (0.756, 0.756, 0.756)
La (0.000, 0.000, 0.000)
Mg (0.500, 0.500, 0.500)

The density of states at the Fermi level is 2.85 states/eV/f.u. As for the final energy: -9.972 eV per formula unit. As for the space group: R-3m, No. 166. The value obtained for the calculated formation energy is 0.4 eV/f.u. The value obtained for the total magnetization is 0.0 μB/cell.

[10]
CeErN | PBE | optimized geometry

a = 7.409 Å, b = 7.277 Å, c = 6.476 Å
α = 64.89°, β = 62.79°, γ = 52.33°
Sites, in units of the cell vectors:
Ce (0.005, 0.005, 0.745)
Ce (0.255, 0.255, 0.995)
Ce (0.745, 0.745, 0.005)
Ce (0.995, 0.995, 0.255)
Er (0.000, 0.500, 0.500)
Er (0.500, 0.000, 0.500)
Er (0.500, 0.500, 0.000)
Er (0.500, 0.500, 0.500)
N (0.083, 0.667, 0.083)
N (0.333, 0.917, 0.333)
N (0.667, 0.083, 0.667)
N (0.917, 0.333, 0.917)

The density of states at the Fermi level is 4.37 states/eV/f.u. As for the final energy: -20.893 eV per formula unit. As for the space group: Fddd, No. 70. The value obtained for the total magnetization is 0.0 μB/cell. The uncorrected formation energy comes out at -0.69 eV per atom. The energy above the most stable polymorph in this dataset comes out at 278 meV per atom.

[11]
Ca3MgTl4 | PBE | optimized geometry

a = 8.533 Å, b = 8.533 Å, c = 8.533 Å
α = 155.46°, β = 108.14°, γ = 77.23°
Sites, in units of the cell vectors:
Ca (0.000, 0.000, 0.000)
Ca (0.280, 0.780, 0.500)
Ca (0.720, 0.220, 0.500)
Mg (0.500, 0.500, 0.000)
Tl (0.119, 0.374, 0.745)
Tl (0.370, 0.626, 0.745)
Tl (0.630, 0.374, 0.255)
Tl (0.881, 0.626, 0.255)

The density of states at the Fermi level is 5.07 states/eV/f.u. As for the final energy: -18.842 eV per formula unit. As for the space group: Immm, No. 71. The value obtained for the calculated formation energy is -1.8 eV/f.u. The value obtained for the total magnetization is 0.0 μB/cell. The energy above the most stable polymorph in this dataset comes out at 120 meV per atom.

[12]
AlZnSi2 | PBE | optimized geometry

a = 5.731 Å, b = 5.731 Å, c = 5.731 Å
α = 144.43°, β = 142.18°, γ = 52.89°
Sites, in units of the cell vectors:
Al (0.000, 0.000, 0.000)
Zn (0.694, 0.194, 0.500)
Si (0.264, 0.764, 0.500)
Si (0.430, 0.430, 0.000)

The density of states at the Fermi level is 0.99 states/eV/f.u. As for the final energy: -14.825 eV per formula unit. As for the space group: Imm2, No. 44. The value obtained for the total magnetization is 0.0 μB/cell. The uncorrected formation energy comes out at 0.26 eV per atom. The energy above the most stable polymorph in this dataset comes out at 39 meV per atom.